Entry 1:
First-principles (PBE) data for PrY3Mg after structural relaxation, as listed in Alexandria via LeMat-Bulk.

As for the polymorph energy (0 for the lowest one): 0.061 eV per atom. For the formation energy, the calculation gives 36 meV per atom. The density of states at the Fermi level comes out at 1.4367 states/eV per atom.

The space group is C2/c (No. 15) and the conventional cell measures 15.1438, 13.0918 and 6.5826 Å, with angles of 90.00, 104.54 and 90.00 degrees. Symmetry generates all atoms from Pr at (0.1008, 0.0738, 0.4591), Y at (0.0979, 0.1946, 0.9670), Y at (0.1910, 0.3148, 0.6373), Y at (0.2017, 0.4263, 0.1423), Mg at (0.0000, 0.3393, 0.2500) and Mg at (0.0000, 0.4234, 0.7500).

---

Entry 2:
First-principles (PBE) data for Cu3Ni4H9 after structural relaxation, as listed in Alexandria via LeMat-Bulk.

As for the total DFT energy (no corrections): -4.032 eV per atom. The density of states at the Fermi level comes out at 0.1745 states/eV per atom.

The space group is R3 (No. 146, hexagonal axes) and the conventional cell measures 4.3826, 4.3826 and 19.3946 Å, with angles of 90.00, 90.00 and 120.00 degrees. Symmetry generates all atoms from Cu at (0.0000, 0.0000, 0.0000), Cu at (0.0000, 0.0000, 0.1336), Cu at (0.0000, 0.0000, 0.5334), Ni at (0.0000, 0.0000, 0.2712), Ni at (0.0000, 0.0000, 0.4006), Ni at (0.0000, 0.0000, 0.7300), Ni at (0.0000, 0.0000, 0.8619), H at (0.0121, 0.5802, 0.0082), H at (0.0403, 0.3641, 0.5798) and H at (0.1004, 0.7521, 0.4587).

---

Entry 3:
First-principles (PBE) data for K3Tl4SnCl8 after structural relaxation, as listed in Alexandria via LeMat-Bulk.

Its formation energy without anion corrections is -1.25 eV per atom. The density of states at the Fermi level comes out at 0.0876 states/eV per atom.

The space group is C2/m (No. 12) and the conventional cell measures 15.9232, 8.9415 and 8.9806 Å, with angles of 90.00, 121.86 and 90.00 degrees. Symmetry generates all atoms from K at (0.0000, 0.0000, 0.0000), K at (0.2500, 0.2500, 0.5000), Tl at (0.0000, 0.0000, 0.5000), Tl at (0.0000, 0.5000, 0.5000), Tl at (0.2500, 0.2500, 0.0000), Sn at (0.0000, 0.5000, 0.0000), Cl at (0.0073, 0.2628, 0.2378), Cl at (0.2231, 0.0000, 0.7156) and Cl at (0.2479, 0.0000, 0.2522).

---

Repeat the second record exactly.
First-principles (PBE) data for Cu3Ni4H9 after structural relaxation, as listed in Alexandria via LeMat-Bulk.

As for the total DFT energy (no corrections): -4.032 eV per atom. The density of states at the Fermi level comes out at 0.1745 states/eV per atom.

The space group is R3 (No. 146, hexagonal axes) and the conventional cell measures 4.3826, 4.3826 and 19.3946 Å, with angles of 90.00, 90.00 and 120.00 degrees. Symmetry generates all atoms from Cu at (0.0000, 0.0000, 0.0000), Cu at (0.0000, 0.0000, 0.1336), Cu at (0.0000, 0.0000, 0.5334), Ni at (0.0000, 0.0000, 0.2712), Ni at (0.0000, 0.0000, 0.4006), Ni at (0.0000, 0.0000, 0.7300), Ni at (0.0000, 0.0000, 0.8619), H at (0.0121, 0.5802, 0.0082), H at (0.0403, 0.3641, 0.5798) and H at (0.1004, 0.7521, 0.4587).

---

What did the second record say?
First-principles (PBE) data for Cu3Ni4H9 after structural relaxation, as listed in Alexandria via LeMat-Bulk.

As for the total DFT energy (no corrections): -4.032 eV per atom. The density of states at the Fermi level comes out at 0.1745 states/eV per atom.

The space group is R3 (No. 146, hexagonal axes) and the conventional cell measures 4.3826, 4.3826 and 19.3946 Å, with angles of 90.00, 90.00 and 120.00 degrees. Symmetry generates all atoms from Cu at (0.0000, 0.0000, 0.0000), Cu at (0.0000, 0.0000, 0.1336), Cu at (0.0000, 0.0000, 0.5334), Ni at (0.0000, 0.0000, 0.2712), Ni at (0.0000, 0.0000, 0.4006), Ni at (0.0000, 0.0000, 0.7300), Ni at (0.0000, 0.0000, 0.8619), H at (0.0121, 0.5802, 0.0082), H at (0.0403, 0.3641, 0.5798) and H at (0.1004, 0.7521, 0.4587).